PBE-GGA LiOsPt, optimized geometry; ΔH_f (0 K) = 115 meV per atom; excess energy over the best structure of this formula in the dataset = 115 meV/atom; symmetry = No. 107; V = 14.7 A^3/atom
1.0
6.3968 -0.0241 0.0251
5.8440 2.6015 0.0322
0.5528 0.1098 2.6233
Os Pt Li
1 1 1
Direct
0.6721 0.6721 0.3279
0.3294 0.3294 0.6706
0.9985 0.9985 0.0015

PBE-GGA LiOs2Pt, optimized geometry; ΔH_f (0 K) = 261 meV per atom; excess energy over the best structure of this formula in the dataset = 250 meV/atom; symmetry = No. 166; V = 14.6 A^3/atom
1.0
-4.0582 7.7873 3.2713
-4.5685 6.1717 5.3713
-2.2084 7.4695 5.2098
Li Os Pt
1 2 1
Direct
0.7500 0.7500 0.7500
0.4999 0.4999 0.4999
0.0001 0.0001 0.0001
0.2500 0.2500 0.2500

- Which value of V does entry 1 give?
  14.7 A^3/atom

- Which value of excess energy over the best structure of this formula in the dataset does entry 2 give?
  250 meV/atom

What did the first record say?
PBE-GGA LiOsPt, optimized geometry; ΔH_f (0 K) = 115 meV per atom; excess energy over the best structure of this formula in the dataset = 115 meV/atom; symmetry = No. 107; V = 14.7 A^3/atom
1.0
6.3968 -0.0241 0.0251
5.8440 2.6015 0.0322
0.5528 0.1098 2.6233
Os Pt Li
1 1 1
Direct
0.6721 0.6721 0.3279
0.3294 0.3294 0.6706
0.9985 0.9985 0.0015